Density functional theory data (PBE-GGA) for crystalline Cd2InTcO6 at its relaxed geometry.

a = 5.405 Å, b = 5.405 Å, c = 5.083 Å
α = 90.00°, β = 90.00°, γ = 90.00°
Atoms (fractional coordinates):
Cd (0.000, 0.500, 0.000)
Cd (0.500, 0.000, 0.000)
In (0.000, 0.000, 0.570)
Tc (0.500, 0.500, 0.585)
O (0.000, 0.000, 0.167)
O (0.266, 0.266, 0.731)
O (0.266, 0.734, 0.731)
O (0.500, 0.500, 0.245)
O (0.734, 0.266, 0.731)
O (0.734, 0.734, 0.731)

Properties
- E_form (uncorrected) (eV/atom) = -1.072
- space group = P4mm (99)
- Fermi-level density of states (states/eV per cell) = 3.0

---

Density functional theory data (PBE-GGA) for crystalline CdIn2TeO8 at its relaxed geometry.

a = 4.888 Å, b = 6.745 Å, c = 4.893 Å
α = 90.00°, β = 91.61°, γ = 90.00°
Atoms (fractional coordinates):
Cd (0.000, 0.000, 0.000)
In (0.500, 0.255, 0.500)
In (0.500, 0.745, 0.500)
Te (0.000, 0.500, 0.000)
O (0.187, 0.285, 0.815)
O (0.187, 0.715, 0.815)
O (0.288, 0.500, 0.290)
O (0.313, 0.000, 0.316)
O (0.687, 0.000, 0.684)
O (0.712, 0.500, 0.710)
O (0.813, 0.285, 0.185)
O (0.813, 0.715, 0.185)

Properties
- E_form (uncorrected) (eV/atom) = -0.990
- space group = P2/m (10)
- Fermi-level density of states (states/eV per cell) = 9.6

---

Q: Look up the Fermi-level density of states of the second one.
A: 9.6 states/eV per cell

---

Q: Which formula does entry 2 have?
A: CdIn2TeO8

---

Q: Look up the E_form (uncorrected) of the first one.
A: -1.072 eV/atom

---

Q: Look up the E_form (uncorrected) of the first one.
A: -1.072 eV/atom